Entry 1:
CuAg6Au5: optimized geometry, PBE-GGA.

Lattice parameters (Å, degrees): 9.2739 12.3264 4.1193 90.00 116.25 90.00
With the nearest neighbours (Å) after each atom.
Space group C2/m (No. 12)
Asymmetric unit:
Cu 0.0000 0.0000 0.0000 [2 per cell]  4 Au 2.85, 8 Ag 2.89-2.91
Ag 0.2463 0.0000 0.7461 [4 per cell]  6 Au 2.85-2.95, 4 Ag 2.90, 2 Cu 2.90-2.91
Ag 0.2469 0.1651 0.2467 [8 per cell]  1 Cu 2.89, 4 Ag 2.90-2.94, 7 Au 2.91-3.01
Au 0.0000 0.1602 0.5000 [4 per cell]  8 Ag 2.85-3.01, 2 Cu 2.85, 2 Au 2.96
Au 0.0000 0.3323 0.0000 [4 per cell]  8 Ag 2.91-2.95, 4 Au 2.92-2.96
Au 0.0000 0.5000 0.5000 [2 per cell]  4 Au 2.92, 8 Ag 2.93-2.95

Properties
The formation energy is -0.020 eV/atom. The value obtained for the total magnetization is 0.00 μB per atom.



Entry 2:
CdRhI2N: optimized geometry, PBE-GGA.

Lattice parameters (Å, degrees): 5.9505 5.9505 4.2070 90.00 90.00 90.00
With the nearest neighbours (Å) after each atom.
Space group P4/mmm (No. 123)
Asymmetric unit:
Cd 0.0000 0.0000 0.0000 [1 per cell]  2 N 2.10
Rh 0.5000 0.5000 0.5000 [1 per cell]  8 I 3.64
I 0.0000 0.5000 0.0000 [2 per cell]  2 Cd 2.98
N 0.0000 0.0000 0.5000 [1 per cell]  2 Cd 2.10

Properties
As for the uncorrected formation energy: 1.25 eV/atom. The value obtained for the total magnetization is 0.80 μB per atom.



Entry 3:
Ac5CoHPt2: optimized geometry, PBE-GGA.

Lattice parameters (Å, degrees): 4.1832 18.2553 13.3233 90.00 90.00 90.00
With the nearest neighbours (Å) after each atom.
Space group Cmc2_1 (No. 36)
Asymmetric unit:
Ac 0.0000 0.0011 0.0000 [4 per cell]  1 H 2.41
Ac 0.0000 0.1426 0.2561 [4 per cell]  1 Co 2.85
Ac 0.0000 0.1982 0.6044 [4 per cell]  1 H 2.52
Ac 0.0000 0.2012 0.9071 [4 per cell]  2 Co 2.91
Ac 0.0000 0.4520 0.2469 [4 per cell]  2 H 2.43
Co 0.0000 0.2988 0.2556 [4 per cell]  6 Ac 2.80-2.91
H 0.0000 0.0654 0.6564 [4 per cell]  4 Ac 2.41-2.52
Pt 0.0000 0.3785 0.5694 [4 per cell]  7 Ac 3.17-3.34
Pt 0.0000 0.3782 0.9387 [4 per cell]  7 Ac 3.17-3.35

Properties
The value obtained for the total magnetization is 0.00 μB per atom. The value obtained for the final energy is -0.198 hartree per atom.



Entry 4:
Nd2Sm3Er2: optimized geometry, PBE-GGA.

Lattice parameters (Å, degrees): 11.9269 3.6135 10.8380 90.00 95.75 90.00
With the nearest neighbours (Å) after each atom.
Space group C2/m (No. 12)
Asymmetric unit:
Nd 0.2155 0.0000 0.3553 [4 per cell]  5 Sm 3.59-3.62, 3 Er 3.60, 4 Nd 3.61-3.64
Sm 0.0000 0.5000 0.5000 [2 per cell]  6 Nd 3.59-3.62, 2 Sm 3.61, 4 Er 3.63
Sm 0.1424 0.5000 0.0700 [4 per cell]  5 Sm 3.58-3.61, 5 Er 3.59-3.61, 2 Nd 3.61
Er 0.0704 0.0000 0.7875 [4 per cell]  7 Sm 3.59-3.63, 3 Nd 3.60, 2 Er 3.61

Properties
The formation energy is 0.016 eV/atom. The value obtained for the total magnetization is 0.00 μB per atom.



Entry 5:
LiAl2Mo: optimized geometry, PBE-GGA.

Lattice parameters (Å, degrees): 3.5963 4.0742 8.7065 90.00 90.00 90.00
With the nearest neighbours (Å) after each atom.
Space group Cmm2 (No. 35)
Asymmetric unit:
Li 0.0000 0.0000 0.0000 [2 per cell]  4 Li 2.72, 4 Al 2.87-3.03, 2 Mo 2.92
Al 0.0000 0.0000 0.4948 [2 per cell]  4 Mo 2.70-2.86, 8 Al 2.72-2.97
Al 0.0000 0.5000 0.7426 [2 per cell]  8 Al 2.72-2.97, 4 Li 2.87-3.03
Mo 0.0000 0.5000 0.2640 [2 per cell]  4 Al 2.70-2.86, 4 Mo 2.72, 2 Li 2.92

Properties
The formation energy is 0.062 eV/atom. The value obtained for the total magnetization is 0.00 μB per atom.



Entry 6:
CsCe3Se6: optimized geometry, PBE-GGA.

Lattice parameters (Å, degrees): 12.7534 4.3358 13.1639 90.00 107.33 90.00
With the nearest neighbours (Å) after each atom.
Space group P2_1/m (No. 11)
Asymmetric unit:
Cs 0.1398 0.2500 0.4211 [2 per cell]  6 Se 3.57-3.73
Ce 0.1579 0.7500 0.0502 [2 per cell]  6 Se 2.83-2.99
Ce 0.2401 0.2500 0.7957 [2 per cell]  6 Se 2.85-3.05
Ce 0.4681 0.2500 0.3474 [2 per cell]  6 Se 2.86-2.95
Se 0.0554 0.2500 0.8985 [2 per cell]  4 Ce 2.97-3.05
Se 0.1532 0.7500 0.6550 [2 per cell]  2 Ce 2.85
Se 0.2468 0.2500 0.1926 [2 per cell]  3 Ce 2.87-2.95
Se 0.3201 0.7500 0.9434 [2 per cell]  3 Ce 2.83-2.89
Se 0.3761 0.7500 0.4430 [2 per cell]  3 Ce 2.88-2.92
Se 0.4458 0.2500 0.7449 [2 per cell]  3 Ce 2.86-2.89

Properties
As for the uncorrected formation energy: -1.63 eV/atom. The value obtained for the total magnetization is 0.04 μB per atom.